No. 1
First-principles (PBEsol) data for a geometry-optimized Sc2Cu3 structure, as listed in Alexandria via LeMat-Bulk.

The structure in CIF format:
```
data_Sc2Cu3
_cell_length_a 7.583
_cell_length_b 5.028
_cell_length_c 8.361
_cell_angle_alpha 63.38
_cell_angle_beta 36.35
_cell_angle_gamma 80.27
_symmetry_space_group_name_H-M 'P 1'
_symmetry_Int_Tables_number 1
_symmetry_space_group_name_Hall 'P 1'
loop_
_atom_site_label
_atom_site_type_symbol
_atom_site_fract_x
_atom_site_fract_y
_atom_site_fract_z
Sc1 Sc 0.121 0.879 0.278
Sc2 Sc 0.528 0.972 0.371
Sc3 Sc 0.879 0.121 0.722
Sc4 Sc 0.972 0.528 0.129
Cu1 Cu 0.191 0.191 0.809
Cu2 Cu 0.441 0.441 0.059
Cu3 Cu 0.451 0.556 0.302
Cu4 Cu 0.556 0.451 0.691
Cu5 Cu 0.559 0.948 0.694
Cu6 Cu 0.948 0.559 0.799
```

Properties
Calculated total energy in eV per cell: -54.40
ΔH_f (0 K) in eV/atom: -0.20
SG: Fdd2, No. 43
DOS at the Fermi energy in states/eV/f.u.: 3.89

No. 2
First-principles (PBEsol) data for a geometry-optimized Sc2Cu structure, as listed in Alexandria via LeMat-Bulk.

The structure in CIF format:
```
data_Sc2Cu
_cell_length_a 4.456
_cell_length_b 4.456
_cell_length_c 3.291
_cell_angle_alpha 90.00
_cell_angle_beta 90.00
_cell_angle_gamma 120.00
_symmetry_space_group_name_H-M 'P 1'
_symmetry_Int_Tables_number 1
_symmetry_space_group_name_Hall 'P 1'
loop_
_atom_site_label
_atom_site_type_symbol
_atom_site_fract_x
_atom_site_fract_y
_atom_site_fract_z
Sc1 Sc 0.333 0.667 0.223
Sc2 Sc 0.667 0.333 0.777
Cu1 Cu 0.000 0.000 0.500
```

Properties
Calculated total energy in eV per cell: -17.51
ΔH_f (0 K) in eV/atom: 0.01
SG: P-3m1, No. 164
DOS at the Fermi energy in states/eV/f.u.: 2.10

No. 3
First-principles (PBEsol) data for a geometry-optimized Sc2Cu structure, as listed in Alexandria via LeMat-Bulk.

The structure in CIF format:
```
data_Sc2Cu
_cell_length_a 7.556
_cell_length_b 7.556
_cell_length_c 4.694
_cell_angle_alpha 90.00
_cell_angle_beta 90.00
_cell_angle_gamma 155.19
_symmetry_space_group_name_H-M 'P 1'
_symmetry_Int_Tables_number 1
_symmetry_space_group_name_Hall 'P 1'
loop_
_atom_site_label
_atom_site_type_symbol
_atom_site_fract_x
_atom_site_fract_y
_atom_site_fract_z
Sc1 Sc 0.079 0.921 0.750
Sc2 Sc 0.220 0.780 0.250
Sc3 Sc 0.780 0.220 0.750
Sc4 Sc 0.921 0.079 0.250
Cu1 Cu 0.428 0.572 0.750
Cu2 Cu 0.572 0.428 0.250
```

Properties
Calculated total energy in eV per cell: -35.99
ΔH_f (0 K) in eV/atom: -0.15
SG: Cmcm, No. 63
DOS at the Fermi energy in states/eV/f.u.: 3.01

No. 4
First-principles (PBEsol) data for a geometry-optimized Sc4Cu3 structure, as listed in Alexandria via LeMat-Bulk.

The structure in CIF format:
```
data_Sc4Cu3
_cell_length_a 12.530
_cell_length_b 12.530
_cell_length_c 12.530
_cell_angle_alpha 165.36
_cell_angle_beta 165.36
_cell_angle_gamma 20.75
_symmetry_space_group_name_H-M 'P 1'
_symmetry_Int_Tables_number 1
_symmetry_space_group_name_Hall 'P 1'
loop_
_atom_site_label
_atom_site_type_symbol
_atom_site_fract_x
_atom_site_fract_y
_atom_site_fract_z
Sc1 Sc 0.066 0.066 0.000
Sc2 Sc 0.336 0.336 0.000
Sc3 Sc 0.664 0.664 0.000
Sc4 Sc 0.934 0.934 0.000
Cu1 Cu 0.226 0.226 0.000
Cu2 Cu 0.500 0.500 0.000
Cu3 Cu 0.774 0.774 0.000
```

Properties
Calculated total energy in eV per cell: -40.37
ΔH_f (0 K) in eV/atom: -0.14
SG: I4/mmm, No. 139
DOS at the Fermi energy in states/eV/f.u.: 7.62

No. 5
First-principles (PBEsol) data for a geometry-optimized Sc2Cu structure, as listed in Alexandria via LeMat-Bulk.

The structure in CIF format:
```
data_Sc2Cu
_cell_length_a 8.599
_cell_length_b 8.599
_cell_length_c 8.599
_cell_angle_alpha 60.00
_cell_angle_beta 60.00
_cell_angle_gamma 60.00
_symmetry_space_group_name_H-M 'P 1'
_symmetry_Int_Tables_number 1
_symmetry_space_group_name_Hall 'P 1'
loop_
_atom_site_label
_atom_site_type_symbol
_atom_site_fract_x
_atom_site_fract_y
_atom_site_fract_z
Sc1 Sc 0.000 0.000 0.000
Sc2 Sc 0.000 0.000 0.500
Sc3 Sc 0.000 0.500 0.000
Sc4 Sc 0.190 0.190 0.560
Sc5 Sc 0.190 0.560 0.190
Sc6 Sc 0.190 0.560 0.560
Sc7 Sc 0.440 0.440 0.810
Sc8 Sc 0.440 0.810 0.440
Sc9 Sc 0.440 0.810 0.810
Sc10 Sc 0.500 0.000 0.000
Sc11 Sc 0.560 0.190 0.190
Sc12 Sc 0.560 0.190 0.560
Sc13 Sc 0.560 0.560 0.190
Sc14 Sc 0.810 0.440 0.440
Sc15 Sc 0.810 0.440 0.810
Sc16 Sc 0.810 0.810 0.440
Cu1 Cu 0.135 0.788 0.788
Cu2 Cu 0.212 0.212 0.212
Cu3 Cu 0.212 0.212 0.865
Cu4 Cu 0.212 0.865 0.212
Cu5 Cu 0.788 0.135 0.788
Cu6 Cu 0.788 0.788 0.135
Cu7 Cu 0.788 0.788 0.788
Cu8 Cu 0.865 0.212 0.212
```

Properties
Calculated total energy in eV per cell: -144.58
ΔH_f (0 K) in eV/atom: -0.18
SG: Fd-3m, No. 227
DOS at the Fermi energy in states/eV/f.u.: 3.72

No. 6
First-principles (PBEsol) data for a geometry-optimized Sc2Cu structure, as listed in Alexandria via LeMat-Bulk.

The structure in CIF format:
```
data_Sc2Cu
_cell_length_a 6.697
_cell_length_b 6.697
_cell_length_c 4.445
_cell_angle_alpha 90.00
_cell_angle_beta 90.00
_cell_angle_gamma 120.00
_symmetry_space_group_name_H-M 'P 1'
_symmetry_Int_Tables_number 1
_symmetry_space_group_name_Hall 'P 1'
loop_
_atom_site_label
_atom_site_type_symbol
_atom_site_fract_x
_atom_site_fract_y
_atom_site_fract_z
Sc1 Sc 0.000 0.407 0.000
Sc2 Sc 0.000 0.737 0.500
Sc3 Sc 0.263 0.263 0.500
Sc4 Sc 0.407 0.000 0.000
Sc5 Sc 0.593 0.593 0.000
Sc6 Sc 0.737 0.000 0.500
Cu1 Cu 0.000 0.000 0.000
Cu2 Cu 0.333 0.667 0.500
Cu3 Cu 0.667 0.333 0.500
```

Properties
Calculated total energy in eV per cell: -53.96
ΔH_f (0 K) in eV/atom: -0.15
SG: P-62m, No. 189
DOS at the Fermi energy in states/eV/f.u.: 1.64

No. 7
First-principles (PBEsol) data for a geometry-optimized Sc2Cu structure, as listed in Alexandria via LeMat-Bulk.

The structure in CIF format:
```
data_Sc2Cu
_cell_length_a 6.117
_cell_length_b 6.117
_cell_length_c 6.363
_cell_angle_alpha 105.07
_cell_angle_beta 105.07
_cell_angle_gamma 30.17
_symmetry_space_group_name_H-M 'P 1'
_symmetry_Int_Tables_number 1
_symmetry_space_group_name_Hall 'P 1'
loop_
_atom_site_label
_atom_site_type_symbol
_atom_site_fract_x
_atom_site_fract_y
_atom_site_fract_z
Sc1 Sc 0.141 0.141 0.070
Sc2 Sc 0.142 0.142 0.572
Sc3 Sc 0.858 0.858 0.428
Sc4 Sc 0.859 0.859 0.930
Cu1 Cu 0.499 0.499 0.746
Cu2 Cu 0.501 0.501 0.254
```

Properties
Calculated total energy in eV per cell: -35.90
ΔH_f (0 K) in eV/atom: -0.13
SG: C2/m, No. 12
DOS at the Fermi energy in states/eV/f.u.: 4.23

No. 8
First-principles (PBEsol) data for a geometry-optimized Sc5Cu3 structure, as listed in Alexandria via LeMat-Bulk.

The structure in CIF format:
```
data_Sc5Cu3
_cell_length_a 7.920
_cell_length_b 7.920
_cell_length_c 5.444
_cell_angle_alpha 90.00
_cell_angle_beta 90.00
_cell_angle_gamma 120.00
_symmetry_space_group_name_H-M 'P 1'
_symmetry_Int_Tables_number 1
_symmetry_space_group_name_Hall 'P 1'
loop_
_atom_site_label
_atom_site_type_symbol
_atom_site_fract_x
_atom_site_fract_y
_atom_site_fract_z
Sc1 Sc 0.000 0.242 0.250
Sc2 Sc 0.000 0.758 0.750
Sc3 Sc 0.242 0.000 0.250
Sc4 Sc 0.242 0.242 0.750
Sc5 Sc 0.333 0.667 0.000
Sc6 Sc 0.333 0.667 0.500
Sc7 Sc 0.667 0.333 0.000
Sc8 Sc 0.667 0.333 0.500
Sc9 Sc 0.758 0.000 0.750
Sc10 Sc 0.758 0.758 0.250
Cu1 Cu 0.000 0.405 0.750
Cu2 Cu 0.000 0.595 0.250
Cu3 Cu 0.405 0.000 0.750
Cu4 Cu 0.405 0.405 0.250
Cu5 Cu 0.595 0.000 0.250
Cu6 Cu 0.595 0.595 0.750
```

Properties
Calculated total energy in eV per cell: -94.09
ΔH_f (0 K) in eV/atom: -0.13
SG: P6_3/mcm, No. 193
DOS at the Fermi energy in states/eV/f.u.: 11.06

No. 9
First-principles (PBEsol) data for a geometry-optimized ScCu2Se structure, as listed in Alexandria via LeMat-Bulk.

The structure in CIF format:
```
data_ScCu2Se
_cell_length_a 5.451
_cell_length_b 5.451
_cell_length_c 5.451
_cell_angle_alpha 42.20
_cell_angle_beta 42.20
_cell_angle_gamma 42.20
_symmetry_space_group_name_H-M 'P 1'
_symmetry_Int_Tables_number 1
_symmetry_space_group_name_Hall 'P 1'
loop_
_atom_site_label
_atom_site_type_symbol
_atom_site_fract_x
_atom_site_fract_y
_atom_site_fract_z
Sc1 Sc 0.000 0.000 0.000
Cu1 Cu 0.231 0.231 0.231
Cu2 Cu 0.769 0.769 0.769
Se1 Se 0.500 0.500 0.500
```

Properties
E_form (uncorrected) in eV/atom: -0.14
Calculated total energy in eV per cell: -19.68
SG: R-3m, No. 166
DOS at the Fermi energy in states/eV/f.u.: 1.61

No. 10
First-principles (PBEsol) data for a geometry-optimized ScCuSe2 structure, as listed in Alexandria via LeMat-Bulk.

The structure in CIF format:
```
data_ScCuSe2
_cell_length_a 9.095
_cell_length_b 7.649
_cell_length_c 12.476
_cell_angle_alpha 90.00
_cell_angle_beta 132.87
_cell_angle_gamma 90.00
_symmetry_space_group_name_H-M 'P 1'
_symmetry_Int_Tables_number 1
_symmetry_space_group_name_Hall 'P 1'
loop_
_atom_site_label
_atom_site_type_symbol
_atom_site_fract_x
_atom_site_fract_y
_atom_site_fract_z
Sc1 Sc 0.004 0.242 0.009
Sc2 Sc 0.004 0.258 0.509
Sc3 Sc 0.495 0.000 0.237
Sc4 Sc 0.495 0.500 0.737
Sc5 Sc 0.505 0.000 0.763
Sc6 Sc 0.505 0.500 0.263
Sc7 Sc 0.996 0.742 0.491
Sc8 Sc 0.996 0.758 0.991
Cu1 Cu 0.168 0.003 0.900
Cu2 Cu 0.168 0.497 0.400
Cu3 Cu 0.327 0.248 0.849
Cu4 Cu 0.327 0.252 0.349
Cu5 Cu 0.673 0.748 0.651
Cu6 Cu 0.673 0.752 0.151
Cu7 Cu 0.832 0.503 0.600
Cu8 Cu 0.832 0.997 0.100
Se1 Se 0.159 0.508 0.202
Se2 Se 0.159 0.992 0.702
Se3 Se 0.174 0.512 0.713
Se4 Se 0.174 0.988 0.213
Se5 Se 0.331 0.741 0.038
Se6 Se 0.331 0.759 0.538
Se7 Se 0.335 0.237 0.547
Se8 Se 0.335 0.263 0.047
Se9 Se 0.665 0.737 0.953
Se10 Se 0.665 0.763 0.453
Se11 Se 0.669 0.241 0.462
Se12 Se 0.669 0.259 0.962
Se13 Se 0.826 0.012 0.787
Se14 Se 0.826 0.488 0.287
Se15 Se 0.841 0.008 0.298
Se16 Se 0.841 0.492 0.798
```

Properties
E_form (uncorrected) in eV/atom: -1.13
Calculated total energy in eV per cell: -185.14
SG: P2_1/c, No. 14